No. 1
Below is a geometry-optimized RbCd2GaAu4 structure, with properties calculated at the PBE-GGA level.

- calculated volume (Å³ per atom) = 24.69
- space group = R-3m
- ΔE_f (eV per atom) = -0.15

Cell: 4.7098 4.7098 10.6368 Å, 77.21 77.21 60.00°
With the nearest neighbours (Å) after each atom.
Element x y z (fractional)
Ga (0.5000, 0.5000, 0.5000)  8 Au 2.67-2.84
Au (0.1403, 0.1403, 0.5790)  3 Ga 2.84, 4 Cd 3.03-3.06, 3 Au 3.17
Au (0.5865, 0.5865, 0.2406)  1 Ga 2.67, 3 Cd 2.76
Au (0.4135, 0.4135, 0.7594)  1 Ga 2.67, 3 Cd 2.76
Au (0.8597, 0.8597, 0.4210)  3 Ga 2.84, 4 Cd 3.03-3.06, 3 Au 3.17
Cd (0.2386, 0.2386, 0.2842)  7 Au 2.76-3.06
Cd (0.7614, 0.7614, 0.7158)  7 Au 2.76-3.06
Rb (0.0000, 0.0000, 0.0000)  6 Au 3.68, 6 Cd 3.99

No. 2
Below is a geometry-optimized CaCd structure, with properties calculated at the PBE-GGA level.

- calculated volume (Å³ per atom) = 31.32
- space group = P-6m2
- ΔE_f (eV per atom) = -0.17

Cell: 3.8358 3.8358 4.9155 Å, 90.00 90.00 120.00°
With the nearest neighbours (Å) after each atom.
Element x y z (fractional)
Cd (0.6667, 0.3333, 0.5000)  6 Ca 3.31
Ca (0.0000, 0.0000, 0.0000)  6 Cd 3.31

| no. | total magnetization (μB/f.u.) |
| --- | --- |
| 1 | 0.00 |
| 2 | 0.00 |